# CoReHgAs

Crystalline CoReHgAs at its relaxed geometry (PBE-GGA, OQMD via LeMat-Bulk).

Results
E   -21.58 eV per cell
Mass density   14.1 Mg/m³

Structure (POSCAR):
```
CoReHgAs
1.0
-1.137 -3.521 -2.431
-1.808 -3.543 1.945
-4.274 -0.948 -0.660
As Re Hg Co
1 1 1 1
Direct
0.000 0.000 0.000
0.250 0.250 0.250
0.500 0.500 0.500
0.750 0.750 0.750
```